Entry 1:
DFT (PBE) results for a relaxed structure of NaAuSN2.

Lattice parameters (Å, degrees): 4.113 4.113 5.389 90.00 90.00 90.00
Site moments in Bohr magnetons follow the coordinates.
Fractional positions:
1 Na 0.500 0.500 0.500  0.00
2 S 0.000 0.000 0.500  0.25
3 Au 0.000 0.000 0.000  0.26
4 N 0.000 0.500 0.000  1.05
5 N 0.500 0.000 0.000  1.05

Values from the calculation:
**Space-group type**: P4/mmm (123)
**ΔE_f (raw)**: 1.29 eV/atom
**Total DFT energy (no corrections)**: -18.9 eV per cell
**Polymorph energy (0 for the lowest one)**: 0.000 eV/atom
**M_tot**: 3.68 μB/f.u.

Entry 2:
DFT (PBE) results for a relaxed structure of YBePb.

Lattice parameters (Å, degrees): 4.252 4.252 4.233 90.00 90.00 120.00
Fractional positions:
1 Pb 0.333 0.667 0.168
2 Y 0.667 0.333 0.667
3 Be 0.000 0.000 0.165

Values from the calculation:
**Space-group type**: P3m1 (156)
**Total DFT energy (no corrections)**: -14.6 eV per cell
**Polymorph energy (0 for the lowest one)**: 0.000 eV/atom
**M_tot**: 0.00 μB/f.u.
**Formation energy**: -0.22 eV per atom

Entry 3:
DFT (PBE) results for a relaxed structure of Fe2CoSb8.

Lattice parameters (Å, degrees): 4.835 8.044 8.053 120.04 90.04 90.01
Fractional positions:
1 Sb 0.247 0.668 0.334
2 Sb 0.753 0.332 0.666
3 Sb 0.714 0.845 0.155
4 Sb 0.286 0.155 0.310
5 Sb 0.285 0.690 0.845
6 Sb 0.286 0.155 0.845
7 Sb 0.714 0.845 0.690
8 Sb 0.715 0.310 0.155
9 Co 0.000 0.000 0.000
10 Fe 0.245 0.333 0.666
11 Fe 0.755 0.667 0.334

Values from the calculation:
**Space-group type**: C2/m (12)
**ΔE_f (raw)**: 0.18 eV/atom
**Total DFT energy (no corrections)**: -55.0 eV per cell
**Polymorph energy (0 for the lowest one)**: 0.023 eV/atom
**M_tot**: 0.00 μB/f.u.

Entry 4:
DFT (PBE) results for a relaxed structure of TiAl5Co6.

Lattice parameters (Å, degrees): 4.063 5.754 6.419 90.00 71.55 90.00
Site moments in Bohr magnetons follow the coordinates.
Fractional positions:
1 Co 0.833 0.749 0.334  0.19
2 Co 0.833 0.251 0.334  0.19
3 Co 0.500 0.251 0.000  0.14
4 Co 0.500 0.749 0.000  0.14
5 Co 0.167 0.749 0.666  0.19
6 Co 0.167 0.251 0.666  0.19
7 Al 0.666 0.500 0.668  0.00
8 Al 0.333 0.000 0.335  0.00
9 Al 0.000 0.500 0.000  0.00
10 Al 0.667 0.000 0.665  0.00
11 Al 0.334 0.500 0.332  0.00
12 Ti 0.000 0.000 0.000  -0.05

Values from the calculation:
**Space-group type**: Cmmm (65)
**Total DFT energy (no corrections)**: -76.5 eV per cell
**M_tot**: 0.89 μB/f.u.
**Formation energy**: -0.60 eV per atom

Entry 5:
DFT (PBE) results for a relaxed structure of TcP2IrO.

Lattice parameters (Å, degrees): 4.761 4.761 3.655 90.00 90.00 90.00
Site moments in Bohr magnetons follow the coordinates.
Fractional positions:
1 P 0.000 0.500 0.000  -0.12
2 P 0.500 0.000 0.000  -0.12
3 Ir 0.000 0.000 0.000  -0.13
4 Tc 0.500 0.500 0.500  2.67
5 O 0.000 0.000 0.500  0.04

Values from the calculation:
**Space-group type**: P4/mmm (123)
**ΔE_f (raw)**: 0.59 eV/atom
**Total DFT energy (no corrections)**: -32.1 eV per cell
**Polymorph energy (0 for the lowest one)**: 0.227 eV/atom
**M_tot**: 2.53 μB/f.u.

Entry 6:
DFT (PBE) results for a relaxed structure of ZrPb.

Lattice parameters (Å, degrees): 4.975 4.975 10.176 90.00 90.00 120.00
Fractional positions:
1 Zr 0.000 0.000 0.250
2 Zr 0.000 0.000 0.750
3 Zr 0.667 0.333 0.750
4 Zr 0.333 0.667 0.250
5 Pb 0.667 0.333 0.093
6 Pb 0.333 0.667 0.593
7 Pb 0.333 0.667 0.907
8 Pb 0.667 0.333 0.407

Values from the calculation:
**Space-group type**: P6_3/mmc (194)
**Total DFT energy (no corrections)**: -46.2 eV per cell
**M_tot**: 0.00 μB/f.u.
**Formation energy**: 0.35 eV per atom

Entry 7:
DFT (PBE) results for a relaxed structure of Ce5CdPb3.

Lattice parameters (Å, degrees): 6.620 9.668 9.668 120.00 90.00 90.00
Site moments in Bohr magnetons follow the coordinates.
Fractional positions:
1 Ce 0.000 0.667 0.333  1.20
2 Ce 0.500 0.333 0.667  1.20
3 Ce 0.000 0.333 0.667  1.20
4 Ce 0.500 0.667 0.333  1.20
5 Ce 0.750 0.703 0.703  0.97
6 Ce 0.750 0.000 0.297  0.97
7 Ce 0.750 0.297 0.000  0.97
8 Ce 0.250 0.297 0.297  0.97
9 Ce 0.250 0.000 0.703  0.97
10 Ce 0.250 0.703 0.000  0.97
11 Cd 0.000 0.000 0.000  0.04
12 Cd 0.500 0.000 0.000  0.04
13 Pb 0.750 0.363 0.363  -0.04
14 Pb 0.750 0.000 0.637  -0.04
15 Pb 0.750 0.637 0.000  -0.04
16 Pb 0.250 0.637 0.637  -0.04
17 Pb 0.250 0.000 0.363  -0.04
18 Pb 0.250 0.363 0.000  -0.04

Values from the calculation:
**Space-group type**: P6_3/mcm (193)
**Total DFT energy (no corrections)**: -90.1 eV per cell
**M_tot**: 7.32 μB/f.u.
**Formation energy**: -0.37 eV per atom

Entry 8:
DFT (PBE) results for a relaxed structure of KBaP2.

Lattice parameters (Å, degrees): 5.708 5.708 3.520 90.00 90.00 105.29
Fractional positions:
1 Ba 0.500 0.000 0.500
2 K 0.000 0.500 0.500
3 P 0.000 0.000 0.000
4 P 0.500 0.500 0.000

Values from the calculation:
**Space-group type**: Cmmm (65)
**Total DFT energy (no corrections)**: -14.7 eV per cell
**Polymorph energy (0 for the lowest one)**: 0.439 eV/atom
**M_tot**: 0.00 μB/f.u.
**Formation energy**: -0.21 eV per atom

Entry 9:
DFT (PBE) results for a relaxed structure of Y2Mn2Se2S3.

Lattice parameters (Å, degrees): 4.647 4.647 9.706 103.85 103.85 90.00
Site moments in Bohr magnetons follow the coordinates.
Fractional positions:
1 Y 0.175 0.175 0.349  0.04
2 Y 0.825 0.825 0.651  0.04
3 Mn 0.500 0.000 0.000  4.06
4 Mn 0.000 0.500 0.000  4.06
5 Se 0.595 0.595 0.190  0.14
6 Se 0.405 0.405 0.810  0.14
7 S 0.000 0.000 0.000  0.05
8 S 0.250 0.750 0.500  0.01
9 S 0.750 0.250 0.500  0.01

Values from the calculation:
**Space-group type**: I4/mmm (139)
**ΔE_f (raw)**: -1.07 eV/atom
**Total DFT energy (no corrections)**: -60.3 eV per cell
**M_tot**: 9.44 μB/f.u.

Entry 10:
DFT (PBE) results for a relaxed structure of RuPbS2N.

Lattice parameters (Å, degrees): 5.176 5.176 4.260 90.00 90.00 90.00
Site moments in Bohr magnetons follow the coordinates.
Fractional positions:
1 Pb 0.000 0.000 0.000  -0.03
2 Ru 0.500 0.500 0.500  3.05
3 S 0.000 0.500 0.000  0.22
4 S 0.500 0.000 0.000  0.22
5 N 0.000 0.000 0.500  0.93

Values from the calculation:
**Space-group type**: P4/mmm (123)
**ΔE_f (raw)**: 1.73 eV/atom
**Total DFT energy (no corrections)**: -20.9 eV per cell
**Polymorph energy (0 for the lowest one)**: 1.597 eV/atom
**M_tot**: 5.29 μB/f.u.

Entry 11:
DFT (PBE) results for a relaxed structure of HoPuTl.

Lattice parameters (Å, degrees): 3.491 3.491 7.396 103.65 103.65 90.00
Site moments in Bohr magnetons follow the coordinates.
Fractional positions:
1 Tl 0.618 0.618 0.237  0.00
2 Ho 0.276 0.276 0.552  0.19
3 Pu 0.956 0.956 0.912  5.58

Values from the calculation:
**Space-group type**: I4mm (107)
**Total DFT energy (no corrections)**: -21.3 eV per cell
**Polymorph energy (0 for the lowest one)**: 0.000 eV/atom
**M_tot**: 6.28 μB/f.u.
**Formation energy**: -0.02 eV per atom

Entry 12:
DFT (PBE) results for a relaxed structure of CsK3Ba.

Lattice parameters (Å, degrees): 8.162 8.162 8.162 90.00 90.00 90.00
Fractional positions:
1 Cs 0.500 0.500 0.500
2 K 0.000 0.500 0.000
3 K 0.000 0.000 0.500
4 K 0.500 0.000 0.000
5 Ba 0.000 0.000 0.000

Values from the calculation:
**Space-group type**: Pm-3m (221)
**Total DFT energy (no corrections)**: -4.3 eV per cell
**Polymorph energy (0 for the lowest one)**: 0.000 eV/atom
**M_tot**: 0.00 μB/f.u.
**Formation energy**: 0.36 eV per atom

Entry 13:
DFT (PBE) results for a relaxed structure of Mg6Bi2Ir.

Lattice parameters (Å, degrees): 4.650 7.005 8.333 114.85 106.29 90.00
Fractional positions:
1 Mg 0.145 0.372 0.290
2 Mg 0.855 0.082 0.710
3 Mg 0.855 0.628 0.710
4 Mg 0.500 0.204 0.000
5 Mg 0.145 0.918 0.290
6 Mg 0.500 0.796 0.000
7 Bi 0.672 0.671 0.343
8 Bi 0.328 0.329 0.657
9 Ir 0.000 0.000 0.000

Values from the calculation:
**Space-group type**: C2/m (12)
**Total DFT energy (no corrections)**: -28.2 eV per cell
**Polymorph energy (0 for the lowest one)**: 0.045 eV/atom
**M_tot**: 0.00 μB/f.u.
**Formation energy**: -0.22 eV per atom

Entry 14:
DFT (PBE) results for a relaxed structure of P4RuCl.

Lattice parameters (Å, degrees): 5.444 5.444 5.444 60.00 60.00 60.00
Site moments in Bohr magnetons follow the coordinates.
Fractional positions:
1 P 0.647 0.647 0.059  0.03
2 P 0.647 0.059 0.647  0.03
3 P 0.647 0.647 0.647  0.03
4 P 0.059 0.647 0.647  0.03
5 Ru 0.250 0.250 0.250  2.58
6 Cl 0.000 0.000 0.000  0.09

Values from the calculation:
**Space-group type**: F-43m (216)
**ΔE_f (raw)**: 0.78 eV/atom
**Total DFT energy (no corrections)**: -28.1 eV per cell
**M_tot**: 3.02 μB/f.u.

Entry 15:
DFT (PBE) results for a relaxed structure of ReSb2Br.

Lattice parameters (Å, degrees): 3.307 5.276 4.940 90.00 90.00 90.00
Site moments in Bohr magnetons follow the coordinates.
Fractional positions:
1 Re 0.000 0.500 0.500  0.34
2 Br 0.500 0.000 0.500  0.00
3 Sb 0.000 0.000 0.000  -0.01
4 Sb 0.500 0.500 0.000  -0.01

Values from the calculation:
**Space-group type**: Pmmm (47)
**ΔE_f (raw)**: 1.06 eV/atom
**Total DFT energy (no corrections)**: -18.1 eV per cell
**Polymorph energy (0 for the lowest one)**: 0.842 eV/atom
**M_tot**: 0.37 μB/f.u.

Entry 16:
DFT (PBE) results for a relaxed structure of Sc2ReP.

Lattice parameters (Å, degrees): 3.380 3.380 5.892 90.00 90.00 90.00
Fractional positions:
1 Sc 0.000 0.000 0.757
2 Sc 0.000 0.000 0.243
3 Re 0.500 0.500 0.500
4 P 0.500 0.500 0.000

Values from the calculation:
**Space-group type**: P4/mmm (123)
**Total DFT energy (no corrections)**: -32.8 eV per cell
**M_tot**: 0.00 μB/f.u.
**Formation energy**: -0.58 eV per atom

Entry 17:
DFT (PBE) results for a relaxed structure of MgMnMo.

Lattice parameters (Å, degrees): 6.967 6.786 2.774 82.06 74.72 23.22
Site moments in Bohr magnetons follow the coordinates.
Fractional positions:
1 Mg 0.996 0.996 0.004  -0.01
2 Mn 0.323 0.323 0.677  2.57
3 Mo 0.681 0.681 0.319  -0.43

Values from the calculation:
**Space-group type**: Fmm2 (42)
**Total DFT energy (no corrections)**: -20.7 eV per cell
**Polymorph energy (0 for the lowest one)**: 0.074 eV/atom
**M_tot**: 2.17 μB/f.u.
**Formation energy**: 0.30 eV per atom

Entry 18:
DFT (PBE) results for a relaxed structure of Ac8SiAs4S3.

Lattice parameters (Å, degrees): 8.953 8.941 8.952 120.05 120.00 90.00
Fractional positions:
1 Ac 0.248 0.748 0.000
2 Ac 0.248 0.748 0.497
3 Ac 0.249 0.248 0.499
4 Ac 0.751 0.748 0.000
5 Ac 0.249 0.252 0.000
6 Ac 0.751 0.752 0.501
7 Ac 0.752 0.252 0.503
8 Ac 0.752 0.252 0.000
9 Si 0.000 0.500 0.000
10 As 0.500 0.000 0.000
11 As 0.500 0.000 0.500
12 As 0.000 0.000 0.000
13 As 0.000 0.000 0.500
14 S 0.500 0.500 0.000
15 S 0.500 0.500 0.500
16 S 0.000 0.500 0.500

Values from the calculation:
**Space-group type**: R-3m (166)
**ΔE_f (raw)**: -1.60 eV/atom
**Total DFT energy (no corrections)**: -94.9 eV per cell
**M_tot**: 0.00 μB/f.u.

Entry 19:
DFT (PBE) results for a relaxed structure of Tl2Cd2Pd5.

Lattice parameters (Å, degrees): 5.361 9.111 8.790 121.22 107.75 90.00
Fractional positions:
1 Tl 0.000 0.064 0.000
2 Tl 0.500 0.564 0.000
3 Tl 0.300 0.315 0.500
4 Tl 0.700 0.815 0.500
5 Cd 0.091 0.697 0.265
6 Cd 0.909 0.433 0.735
7 Cd 0.674 0.197 0.265
8 Cd 0.326 0.933 0.735
9 Pd 0.201 0.765 0.901
10 Pd 0.799 0.864 0.099
11 Pd 0.200 0.265 0.901
12 Pd 0.800 0.364 0.099
13 Pd 0.398 0.964 0.297
14 Pd 0.602 0.667 0.703
15 Pd 0.399 0.464 0.297
16 Pd 0.601 0.167 0.703
17 Pd 0.000 0.565 0.500
18 Pd 0.000 0.065 0.500

Values from the calculation:
**Space-group type**: Ima2 (46)
**Total DFT energy (no corrections)**: -67.9 eV per cell
**M_tot**: 0.00 μB/f.u.
**Formation energy**: -0.16 eV per atom

Entry 20:
DFT (PBE) results for a relaxed structure of Li6In2Ag.

Lattice parameters (Å, degrees): 5.438 5.438 5.438 95.28 84.74 84.74
Fractional positions:
1 Li 0.167 0.500 0.167
2 Li 0.833 0.833 0.500
3 Li 0.833 0.500 0.833
4 Li 0.500 0.833 0.167
5 Li 0.167 0.167 0.500
6 Li 0.500 0.167 0.833
7 In 0.672 0.329 0.329
8 In 0.328 0.671 0.671
9 Ag 0.000 0.000 0.000

Values from the calculation:
**Space-group type**: R-3m (166)
**Total DFT energy (no corrections)**: -22.0 eV per cell
**Polymorph energy (0 for the lowest one)**: 0.000 eV/atom
**M_tot**: 0.00 μB/f.u.
**Formation energy**: -0.25 eV per atom